VASP calculation (PBE) on an optimized crystal structure of NaTlRhPb. Values from VASP.

Summary:
- Raw total energy: -3.685 eV/atom
- ΔE_f: 0.0010 eV/atom
- Crystal system: cubic
- Density of states at the Fermi level: 0.38 states/eV/atom

Geometry as Quantum ESPRESSO input:
```
&SYSTEM
  ibrav = 0, nat = 4, ntyp = 4
/
ATOMIC_SPECIES
Pb 207.20 Pb.upf
Na 22.99 Na.upf
Tl 204.38 Tl.upf
Rh 102.91 Rh.upf
ATOMIC_POSITIONS angstrom
Pb 0.000 0.000 0.000
Na 2.651 2.555 8.272
Tl 1.767 1.703 5.515
Rh 0.884 0.852 2.757
CELL_PARAMETERS angstrom
-0.344 3.526 3.426
-0.013 -1.201 4.780
3.892 1.081 2.823
```